VASP calculation (GGA-PBE) on a relaxed CaCoSb2Ir crystal.

Properties
Space-group type: P4/mmm
DOS at the Fermi energy in states/eV per cell: 4.15
Uncorrected formation energy in eV/f.u.: 1.02

a b c (Å): 4.886 4.806 4.886
angles (deg): 90.00 90.00 90.00
Site moments in Bohr magnetons follow the coordinates.
Fractional coordinates of all 5 atoms:
Co: 0.000 0.000 0.000  1.12
Sb: 0.000 0.000 0.500  0.00
Ir: 0.000 0.500 0.000  0.53
Sb: 0.500 0.000 0.000  0.03
Ca: 0.500 0.500 0.500  0.01

=====

VASP calculation (GGA-PBE) on a relaxed CaCoSi3Ir crystal.

Properties
Space-group type: Cmcm
DOS at the Fermi energy in states/eV per cell: 3.93
Uncorrected formation energy in eV/f.u.: -2.66

a b c (Å): 5.842 6.073 6.790
angles (deg): 116.56 90.00 90.00
Fractional coordinates of all 12 atoms:
Si: 0.500 0.714 0.000
Co: 0.750 0.972 0.944
Si: 0.250 0.198 0.397
Si: 0.750 0.802 0.603
Ir: 0.750 0.618 0.235
Si: 0.000 0.286 0.000
Co: 0.250 0.028 0.056
Si: 0.500 0.286 0.000
Ir: 0.250 0.382 0.765
Ca: 0.250 0.764 0.527
Ca: 0.750 0.236 0.473
Si: 0.000 0.714 0.000

=====

VASP calculation (GGA-PBE) on a relaxed CaCoSnIr2 crystal.

Properties
Formation energy from the elements in eV per atom: 2.16
Space-group type: P4/mmm
DOS at the Fermi energy in states/eV per cell: 6.31

a b c (Å): 4.807 5.349 4.807
angles (deg): 90.00 90.00 90.00
Site moments in Bohr magnetons follow the coordinates.
Fractional coordinates of all 5 atoms:
Ca: 0.000 0.000 0.000  -0.01
Sn: 0.000 0.500 0.000  -0.02
Ir: 0.500 0.000 0.000  0.22
Co: 0.500 0.500 0.500  2.20
Ir: 0.000 0.000 0.500  0.21